VASP calculation (PBE) on a relaxed structure of AcLa3Ho12.

VASP energy   -4.571 eV/atom
ΔE_f   0.04 eV/atom
Magnetization   0.0 μB per formula unit
Crystal system   tetragonal
SG   No. 123

```
16
Lattice="5.092 0.000 0.000 0.000 5.092 0.000 0.000 0.000 20.355" Properties=species:S:1:pos:R:3 pbc="T T T"
Ac 0.000 0.000 0.000
La 0.000 0.000 5.120
La 0.000 0.000 10.177
La 0.000 0.000 15.235
Ho 0.000 2.546 2.608
Ho 0.000 2.546 7.652
Ho 0.000 2.546 12.703
Ho 0.000 2.546 17.747
Ho 2.546 0.000 2.608
Ho 2.546 0.000 7.652
Ho 2.546 0.000 12.703
Ho 2.546 0.000 17.747
Ho 2.546 2.546 0.000
Ho 2.546 2.546 5.125
Ho 2.546 2.546 10.177
Ho 2.546 2.546 15.229
```

VASP calculation (PBE) on a relaxed structure of Ce5Tm2Sb4.

VASP energy   -5.363 eV/atom
Magnetization   3.6 μB per formula unit
Crystal system   monoclinic
SG   No. 12

```
11
Lattice="12.820 -1.680 0.000 12.820 1.680 0.000 -0.562 0.000 7.444" Properties=species:S:1:pos:R:3 pbc="T T T"
Ce 0.000 0.000 0.000
Ce 6.675 0.000 6.089
Ce 8.942 0.000 0.763
Ce 16.136 0.000 6.680
Ce 18.403 0.000 1.354
Tm 10.148 0.000 5.026
Tm 14.930 0.000 2.417
Sb 4.267 0.000 3.988
Sb 11.691 0.000 2.398
Sb 13.388 0.000 5.046
Sb 20.812 0.000 3.456
```

VASP calculation (PBE) on a relaxed structure of HF.

VASP energy   -4.138 eV/atom
Distance to the lowest polymorph of the same formula   6.9 kJ/mol of atoms
Magnetization   0.0 μB per formula unit
Crystal system   orthorhombic
SG   No. 63

```
4
Lattice="1.483 -2.229 0.000 1.483 2.229 0.000 0.000 0.000 5.685" Properties=species:S:1:pos:R:3 pbc="T T T"
H 1.483 1.899 4.264
H 1.483 -1.899 1.421
F 1.483 1.602 1.421
F 1.483 -1.602 4.264
```